DFT (PBE with a Hubbard U) results for a relaxed structure of CsMoO2.

The space group is Fm-3m (No. 225) and the conventional cell measures 6.424, 6.424 and 6.424 Å, with angles of 90.00, 90.00 and 90.00 degrees. The distinct sites, in fractional coordinates, are Cs at (0.000, 0.000, 0.000), Mo at (0.000, 0.000, 0.500) and O at (0.250, 0.250, 0.250).

The magnetization comes out at 12.00 μB/cell. As for the crystal system: cubic. As for the theoretical density: 6.53 Mg/m³. The total energy is -70.455 eV/cell. As for the density of states at the Fermi level: 0.212 states/eV per atom.

DFT (PBE with a Hubbard U) results for a relaxed structure of NaPuMoO6.

The space group is P-31c (No. 163) and the conventional cell measures 5.5094, 5.5094 and 10.1283 Å, with angles of 90.00, 90.00 and 120.00 degrees. The distinct sites, in fractional coordinates, are Na at (0.0000, 0.0000, 0.0000), Pu at (0.3333, 0.6667, 0.2500), Mo at (0.3333, 0.6667, 0.7500) and O at (0.0204, 0.3828, 0.6448).

The magnetization comes out at 6.00 μB/cell. As for the crystal system: trigonal. As for the theoretical density: 5.72 Mg/m³. The total energy is -142.108 eV/cell. As for the density of states at the Fermi level: 0.767 states/eV per atom.

Question: What is the formula in the first record?
Answer: CsMoO2

Copy entry 2 word for word.
DFT (PBE with a Hubbard U) results for a relaxed structure of NaPuMoO6.

The space group is P-31c (No. 163) and the conventional cell measures 5.5094, 5.5094 and 10.1283 Å, with angles of 90.00, 90.00 and 120.00 degrees. The distinct sites, in fractional coordinates, are Na at (0.0000, 0.0000, 0.0000), Pu at (0.3333, 0.6667, 0.2500), Mo at (0.3333, 0.6667, 0.7500) and O at (0.0204, 0.3828, 0.6448).

The magnetization comes out at 6.00 μB/cell. As for the crystal system: trigonal. As for the theoretical density: 5.72 Mg/m³. The total energy is -142.108 eV/cell. As for the density of states at the Fermi level: 0.767 states/eV per atom.